(1)
A geometry-optimized Na4Mn3SiS8 structure. Source: the Alexandria database, functional PBE.

Output
**Space-group type**: R-3m (166)
**Energy relative to the elements, uncorrected**: -18.20 kcal/mol of atoms

Lattice parameters (Å, degrees): 7.1913 7.7771 7.1919 117.57 120.00 90.00
Closest atoms and distances in Å follow each position.
Fractional coordinates of all 16 atoms:
S: 0.7482 0.6981 0.9731  1 Si 2.37, 2 Mn 2.49
S: 0.7751 0.3019 0.0269  1 Si 2.37, 2 Mn 2.49
Na: 0.5000 0.0000 0.5000  6 S 2.84-2.86
S: 0.2660 0.2980 0.5320  3 Mn 2.46
Si: 0.0000 0.5000 0.0000  6 S 2.37
Na: 0.0000 0.0000 0.0000  6 S 2.84-2.85
Mn: 0.0000 0.5000 0.5000  6 S 2.46-2.49
Na: 0.0000 0.0000 0.5000  6 S 2.84-2.86
S: 0.2250 0.6981 0.4500  1 Si 2.37, 2 Mn 2.49
S: 0.2249 0.6981 0.9731  1 Si 2.37, 2 Mn 2.49
S: 0.7340 0.7020 0.4680  3 Mn 2.46
S: 0.2518 0.3019 0.0269  1 Si 2.37, 2 Mn 2.49
Na: 0.5000 0.0000 0.0000  6 S 2.94
S: 0.7750 0.3019 0.5500  1 Si 2.37, 2 Mn 2.49
Mn: 0.5000 0.5000 0.0000  6 S 2.46-2.49
Mn: 0.5000 0.5000 0.5000  6 S 2.46-2.49

***

(2)
A geometry-optimized ThMg2Zn2Ni structure. Source: the Alexandria database, functional PBE.

Output
**Space-group type**: I4/mmm (139)

Lattice parameters (Å, degrees): 4.8875 4.8875 6.4870 112.13 112.13 90.00
Closest atoms and distances in Å follow each position.
Fractional coordinates of all 6 atoms:
Mg: 0.2500 0.7500 0.5000  4 Zn 2.49
Zn: 0.2068 0.2068 0.4136  1 Ni 2.27, 4 Mg 2.49
Zn: 0.7932 0.7932 0.5864  1 Ni 2.27, 4 Mg 2.49
Ni: 0.0000 0.0000 0.0000  2 Zn 2.27
Mg: 0.7500 0.2500 0.5000  4 Zn 2.49
Th: 0.5000 0.5000 0.0000  2 Zn 3.22, 4 Ni 3.46

***

(3)
A geometry-optimized DyB12 structure. Source: the Alexandria database, functional PBE.

Output
**Space-group type**: Fm-3m (225)

Lattice parameters (Å, degrees): 5.3020 5.3020 5.3020 60.00 60.00 60.00
Closest atoms and distances in Å follow each position.
Fractional coordinates of all 13 atoms:
B: 0.5000 0.8375 0.5000  5 B 1.72-1.79
B: 0.8375 0.1625 0.5000  5 B 1.72-1.79
B: 0.5000 0.5000 0.1625  5 B 1.72-1.79
B: 0.1625 0.5000 0.5000  5 B 1.72-1.79
B: 0.1625 0.8375 0.5000  5 B 1.72-1.79
B: 0.5000 0.1625 0.8375  5 B 1.72-1.79
Dy: 0.0000 0.0000 0.0000  24 B 2.79
B: 0.5000 0.8375 0.1625  5 B 1.72-1.79
B: 0.8375 0.5000 0.1625  5 B 1.72-1.79
B: 0.8375 0.5000 0.5000  5 B 1.72-1.79
B: 0.5000 0.5000 0.8375  5 B 1.72-1.79
B: 0.5000 0.1625 0.5000  5 B 1.72-1.79
B: 0.1625 0.5000 0.8375  5 B 1.72-1.79

***

(4)
A geometry-optimized CoAs2Se structure. Source: the Alexandria database, functional PBE.

Output
**Space-group type**: P4mm (99)
**Energy relative to the elements, uncorrected**: 5.00 kcal/mol of atoms

Lattice parameters (Å, degrees): 2.8568 2.8568 8.6705 90.00 90.00 90.00
Closest atoms and distances in Å follow each position.
Fractional coordinates of all 4 atoms:
Co: 0.0000 0.0000 0.4958  4 Se 2.51, 4 As 2.56
As: 0.0000 0.0000 0.0219  4 As 2.86
Se: 0.5000 0.5000 0.6684  4 Co 2.51
As: 0.5000 0.5000 0.3139  4 Co 2.56, 4 As 2.86

***

(5)
A geometry-optimized Y2TiIn structure. Source: the Alexandria database, functional PBE.

Output
**Space-group type**: I-42d (122)

Lattice parameters (Å, degrees): 8.3101 8.3101 6.6547 51.36 51.36 90.00
Closest atoms and distances in Å follow each position.
Fractional coordinates of all 8 atoms:
Y: 0.8750 0.8725 0.7500  2 Ti 3.03, 2 In 3.05, 2 Y 3.12
Ti: 0.2500 0.7500 0.5000  4 Y 3.03, 2 In 3.12
Y: 0.1275 0.6250 0.2500  2 Ti 3.03, 2 In 3.05, 2 Y 3.12
In: 0.7500 0.2500 0.5000  4 Y 3.05, 2 Ti 3.12
Ti: 0.5000 0.5000 0.0000  4 Y 3.03, 2 In 3.12
Y: 0.6225 0.1250 0.2500  2 Ti 3.03, 2 In 3.05, 2 Y 3.12
Y: 0.3750 0.3775 0.7500  2 Ti 3.03, 2 In 3.05, 2 Y 3.12
In: 0.0000 0.0000 0.0000  4 Y 3.05, 2 Ti 3.12

***

(6)
A geometry-optimized CrPBr2 structure. Source: the Alexandria database, functional PBE.

Output
**Space-group type**: Pmmm (47)
**Energy relative to the elements, uncorrected**: 10.14 kcal/mol of atoms
**Distance to the lowest polymorph of the same formula**: 818 meV per atom

Lattice parameters (Å, degrees): 3.4273 6.2079 4.2094 90.00 90.00 90.00
Closest atoms and distances in Å follow each position.
Fractional coordinates of all 4 atoms:
Br: 0.0000 0.0000 0.0000  4 Cr 2.71
Br: 0.5000 0.5000 0.0000  4 P 2.71
Cr: 0.5000 0.0000 0.5000  4 Br 2.71
P: 0.0000 0.5000 0.5000  4 Br 2.71

***

(7)
A geometry-optimized CrNiIN2 structure. Source: the Alexandria database, functional PBE.

Output
**Space-group type**: P4/mmm (123)
**Energy relative to the elements, uncorrected**: 30.65 kcal/mol of atoms
**Distance to the lowest polymorph of the same formula**: 585 meV per atom

Lattice parameters (Å, degrees): 3.8131 3.8131 5.9156 90.00 90.00 90.00
Closest atoms and distances in Å follow each position.
Fractional coordinates of all 5 atoms:
N: 0.5000 0.0000 0.0000  2 Ni 1.91
Ni: 0.0000 0.0000 0.0000  4 N 1.91
I: 0.0000 0.0000 0.5000  4 Cr 2.70, 2 Ni 2.96
N: 0.0000 0.5000 0.0000  2 Ni 1.91
Cr: 0.5000 0.5000 0.5000  4 I 2.70

***

(8)
A geometry-optimized Na4Hg11 structure. Source: the Alexandria database, functional PBE.

Output
**Space-group type**: P4_2/mnm (136)

Lattice parameters (Å, degrees): 6.1801 11.4261 11.4261 90.00 90.00 90.00
Closest atoms and distances in Å follow each position.
Fractional coordinates of all 30 atoms:
Hg: 0.0000 0.7328 0.9584  5 Hg 3.09-3.32, 4 Na 3.21-3.24
Na: 0.0000 0.1496 0.5269  5 Hg 3.03-3.24
Hg: 0.5000 0.9064 0.9064  1 Hg 3.02, 2 Na 3.03
Hg: 0.0000 0.2672 0.0416  5 Hg 3.09-3.32, 4 Na 3.21-3.24
Hg: 0.5000 0.4584 0.7672  5 Hg 3.09-3.32, 4 Na 3.21-3.24
Hg: 0.5000 0.5416 0.2328  5 Hg 3.09-3.32, 4 Na 3.21-3.24
Hg: 0.2477 0.7025 0.7025  6 Hg 3.06-3.32
Hg: 0.2523 0.7975 0.2025  6 Hg 3.06-3.32
Na: 0.5000 0.0269 0.3504  5 Hg 3.03-3.24
Hg: 0.0000 0.4064 0.5936  1 Hg 3.02, 2 Na 3.03
Hg: 0.0000 0.9584 0.7328  5 Hg 3.09-3.32, 4 Na 3.21-3.24
Hg: 0.7523 0.7025 0.7025  6 Hg 3.06-3.32
Hg: 0.5000 0.2328 0.5416  5 Hg 3.09-3.32, 4 Na 3.21-3.24
Hg: 0.7523 0.2975 0.2975  6 Hg 3.06-3.32
Hg: 0.2477 0.2975 0.2975  6 Hg 3.06-3.32
Hg: 0.5000 0.0936 0.0936  1 Hg 3.02, 2 Na 3.03
Na: 0.0000 0.5269 0.1496  5 Hg 3.03-3.24
Hg: 0.2523 0.2025 0.7975  6 Hg 3.06-3.32
Hg: 0.5000 0.7672 0.4584  5 Hg 3.09-3.32, 4 Na 3.21-3.24
Na: 0.5000 0.9731 0.6496  5 Hg 3.03-3.24
Na: 0.0000 0.4731 0.8504  5 Hg 3.03-3.24
Hg: 0.5000 0.5000 0.5000  8 Hg 3.09-3.44
Hg: 0.7477 0.7975 0.2025  6 Hg 3.06-3.32
Hg: 0.0000 0.0416 0.2672  5 Hg 3.09-3.32, 4 Na 3.21-3.24
Hg: 0.0000 0.5936 0.4064  1 Hg 3.02, 2 Na 3.03
Hg: 0.7477 0.2025 0.7975  6 Hg 3.06-3.32
Na: 0.5000 0.6496 0.9731  5 Hg 3.03-3.24
Na: 0.5000 0.3504 0.0269  5 Hg 3.03-3.24
Hg: 0.0000 0.0000 0.0000  8 Hg 3.09-3.44
Na: 0.0000 0.8504 0.4731  5 Hg 3.03-3.24

***

The records above yield total moment values of 12.1; 0.0; 0.0; 0.0; 4.0; 4.1; 0.8; 0.0 μB/cell, respectively.
The records above yield N(E_F) values of 0.468; 0.530; 0.358; 0.859; 1.083; 0.431; 0.274; 0.364 states/eV per atom, respectively.
The records above yield calculated total energy values of -83.86; -17.22; -87.83; -19.02; -44.73; -16.62; -26.96; -21.20 eV per cell, respectively.